1.
First-principles (PBE) data for a geometry-optimized NdSm4Dy7 structure, as listed in Alexandria via LeMat-Bulk.

a = 6.5617 Å, b = 6.8556 Å, c = 9.1029 Å
α = 85.32°, β = 76.98°, γ = 81.88°
With the nearest neighbours (Å) after each atom.
Positions (direct):
Nd 0.0000 0.0000 0.0000  2 Sm 3.41, 4 Dy 3.43-3.51
Sm 0.1633 0.6121 0.3110  7 Dy 3.42-3.71, 2 Sm 3.52-3.56
Sm 0.3608 0.1934 0.7149  8 Dy 3.33-3.72, 1 Nd 3.41, 2 Sm 3.52-3.56
Sm 0.6392 0.8066 0.2851  8 Dy 3.33-3.72, 1 Nd 3.41, 2 Sm 3.52-3.56
Sm 0.8367 0.3879 0.6890  7 Dy 3.42-3.71, 2 Sm 3.52-3.56
Dy 0.0000 0.5000 0.0000  4 Sm 3.42-3.67, 2 Nd 3.43, 4 Dy 3.50-3.73
Dy 0.1903 0.1039 0.3866  5 Dy 3.28-3.62, 4 Sm 3.33-3.54
Dy 0.3176 0.6991 0.6410  5 Dy 3.40-3.73, 4 Sm 3.46-3.57
Dy 0.4853 0.2506 0.0512  5 Dy 3.39-3.60, 4 Sm 3.41-3.72, 1 Nd 3.51
Dy 0.5147 0.7494 0.9488  5 Dy 3.39-3.60, 4 Sm 3.41-3.72, 1 Nd 3.51
Dy 0.6824 0.3009 0.3590  5 Dy 3.40-3.73, 4 Sm 3.46-3.57
Dy 0.8097 0.8961 0.6134  5 Dy 3.28-3.62, 4 Sm 3.33-3.54

Calculated values
The total energy is -4.5699 eV/atom. The magnetic moment is 0.00 μB/f.u. As for the space group: No. 2. The energy of formation from the pure elements is 0.09 eV per atom.

2.
First-principles (PBE) data for a geometry-optimized Nd5Sm12Dy2 structure, as listed in Alexandria via LeMat-Bulk.

a = 10.0108 Å, b = 10.0108 Å, c = 10.5009 Å
α = 109.99°, β = 109.99°, γ = 42.05°
With the nearest neighbours (Å) after each atom.
Positions (direct):
Nd 0.0000 0.0000 0.0000  2 Sm 2.90
Nd 0.1858 0.1858 0.6837  5 Sm 3.30-3.64, 2 Nd 3.61
Nd 0.3240 0.3240 0.2909  2 Dy 3.59, 2 Nd 3.61, 9 Sm 3.73-3.93
Nd 0.6760 0.6760 0.7091  2 Dy 3.59, 2 Nd 3.61, 9 Sm 3.73-3.93
Nd 0.8142 0.8142 0.3163  5 Sm 3.30-3.64, 2 Nd 3.61
Sm 0.0241 0.0241 0.7427  1 Nd 2.90, 2 Dy 3.14
Sm 0.0859 0.5830 0.9797  6 Sm 3.34-3.69, 2 Nd 3.52-3.73
Sm 0.0889 0.5930 0.6328  6 Sm 3.44-3.69, 2 Nd 3.62-3.64, 1 Dy 3.72
Sm 0.4070 0.9111 0.3672  6 Sm 3.44-3.69, 2 Nd 3.62-3.64, 1 Dy 3.72
Sm 0.4170 0.9141 0.0203  6 Sm 3.34-3.69, 2 Nd 3.52-3.73
Sm 0.4986 0.4986 0.1785  7 Sm 3.44-3.77, 2 Dy 3.72, 1 Nd 3.85
Sm 0.5014 0.5014 0.8215  7 Sm 3.44-3.77, 2 Dy 3.72, 1 Nd 3.85
Sm 0.5830 0.0859 0.9797  6 Sm 3.34-3.69, 2 Nd 3.52-3.73
Sm 0.5930 0.0889 0.6328  6 Sm 3.44-3.69, 2 Nd 3.62-3.64, 1 Dy 3.72
Sm 0.9111 0.4070 0.3672  6 Sm 3.44-3.69, 2 Nd 3.62-3.64, 1 Dy 3.72
Sm 0.9141 0.4170 0.0203  6 Sm 3.34-3.69, 2 Nd 3.52-3.73
Sm 0.9759 0.9759 0.2573  1 Nd 2.90, 2 Dy 3.14
Dy 0.2781 0.7219 0.5000  2 Sm 3.14, 1 Dy 3.19
Dy 0.7219 0.2781 0.5000  2 Sm 3.14, 1 Dy 3.19

Calculated values
The total energy is -4.5492 eV/atom. The magnetic moment is 0.00 μB/f.u. As for the space group: No. 12. The energy of formation from the pure elements is 0.17 eV per atom.

3.
First-principles (PBE) data for a geometry-optimized Nd2Sm8Dy3 structure, as listed in Alexandria via LeMat-Bulk.

a = 11.0467 Å, b = 11.0467 Å, c = 5.6687 Å
α = 90.01°, β = 90.01°, γ = 40.78°
With the nearest neighbours (Å) after each atom.
Positions (direct):
Nd 0.2406 0.2406 0.9995  8 Sm 3.42-3.65
Nd 0.7594 0.7594 0.0005  8 Sm 3.42-3.65
Sm 0.1300 0.1300 0.4998  2 Dy 3.48, 2 Nd 3.64-3.65, 4 Sm 3.66
Sm 0.1879 0.6030 0.9999  1 Dy 3.12, 1 Sm 3.20
Sm 0.3329 0.3329 0.4996  2 Nd 3.42, 4 Sm 3.50
Sm 0.3970 0.8121 0.0001  1 Dy 3.12, 1 Sm 3.20
Sm 0.6030 0.1879 0.9999  1 Dy 3.12, 1 Sm 3.20
Sm 0.6671 0.6671 0.5004  2 Nd 3.42, 4 Sm 3.50
Sm 0.8121 0.3970 0.0001  1 Dy 3.12, 1 Sm 3.20
Sm 0.8700 0.8700 0.5002  2 Dy 3.48, 2 Nd 3.64-3.65, 4 Sm 3.66
Dy 0.0000 0.0000 0.0000  4 Sm 3.12
Dy 0.2862 0.7138 0.5000  3 Dy 3.29-3.59, 6 Sm 3.48-3.57
Dy 0.7138 0.2862 0.5000  3 Dy 3.29-3.59, 6 Sm 3.48-3.57

Calculated values
The total energy is -4.4833 eV/atom. The magnetic moment is 0.00 μB/f.u. As for the space group: No. 12. The energy of formation from the pure elements is 0.22 eV per atom.

4.
First-principles (PBE) data for a geometry-optimized Nd4SmDy4 structure, as listed in Alexandria via LeMat-Bulk.

a = 8.0831 Å, b = 8.0831 Å, c = 8.0831 Å
α = 95.72°, β = 95.72°, γ = 143.18°
With the nearest neighbours (Å) after each atom.
Positions (direct):
Nd 0.1672 0.1672 0.3343  4 Nd 3.60-3.63, 6 Dy 3.61-3.62, 2 Sm 3.62
Nd 0.1672 0.8328 0.0000  4 Nd 3.60-3.63, 6 Dy 3.61-3.62, 2 Sm 3.62
Nd 0.8328 0.1672 0.0000  4 Nd 3.60-3.63, 6 Dy 3.61-3.62, 2 Sm 3.62
Nd 0.8328 0.8328 0.6657  4 Nd 3.60-3.63, 6 Dy 3.61-3.62, 2 Sm 3.62
Sm 0.5000 0.5000 0.0000  8 Nd 3.62, 4 Dy 3.64
Dy 0.1646 0.5000 0.6646  5 Dy 3.57-3.59, 6 Nd 3.61-3.62, 1 Sm 3.64
Dy 0.5000 0.1646 0.6646  5 Dy 3.57-3.59, 6 Nd 3.61-3.62, 1 Sm 3.64
Dy 0.5000 0.8354 0.3354  5 Dy 3.57-3.59, 6 Nd 3.61-3.62, 1 Sm 3.64
Dy 0.8354 0.5000 0.3354  5 Dy 3.57-3.59, 6 Nd 3.61-3.62, 1 Sm 3.64

Calculated values
The total energy is -4.6711 eV/atom. The magnetic moment is 0.00 μB/f.u. As for the space group: No. 139. The energy of formation from the pure elements is 0.02 eV per atom.

5.
First-principles (PBE) data for a geometry-optimized Nd4Sm3Dy2 structure, as listed in Alexandria via LeMat-Bulk.

a = 3.6368 Å, b = 3.6368 Å, c = 27.0297 Å
α = 90.00°, β = 90.00°, γ = 120.00°
With the nearest neighbours (Å) after each atom.
Positions (direct):
Nd 0.0000 0.0000 0.0000  1 Dy 3.43, 3 Sm 3.58, 6 Nd 3.64
Nd 0.0000 0.0000 0.2198  9 Nd 3.64-3.68, 3 Sm 3.69
Nd 0.3333 0.6667 0.3317  9 Nd 3.64-3.68, 3 Sm 3.65
Nd 0.3333 0.6667 0.5540  3 Dy 3.57, 6 Nd 3.64, 3 Sm 3.68
Sm 0.0000 0.0000 0.4424  6 Sm 3.64, 6 Nd 3.65-3.68
Sm 0.3333 0.6667 0.1074  6 Nd 3.58-3.69, 6 Sm 3.64
Sm 0.3333 0.6667 0.7691  6 Dy 3.50-3.60, 6 Sm 3.64
Dy 0.0000 0.0000 0.6610  3 Nd 3.57, 3 Sm 3.60, 6 Dy 3.64
Dy 0.0000 0.0000 0.8729  1 Nd 3.43, 3 Sm 3.50, 6 Dy 3.64

Calculated values
The total energy is -4.6495 eV/atom. The magnetic moment is 0.00 μB/f.u. As for the space group: No. 156. The energy of formation from the pure elements is 0.07 eV per atom.

6.
First-principles (PBE) data for a geometry-optimized Nd3Sm8Dy4 structure, as listed in Alexandria via LeMat-Bulk.

a = 9.2826 Å, b = 9.2826 Å, c = 6.9035 Å
α = 111.71°, β = 111.71°, γ = 82.15°
With the nearest neighbours (Å) after each atom.
Positions (direct):
Nd 0.0000 0.0000 0.0000  4 Sm 3.08
Nd 0.0000 0.5000 0.0000  2 Dy 3.45, 8 Sm 3.50-3.55
Nd 0.5000 0.0000 0.0000  2 Dy 3.45, 8 Sm 3.50-3.55
Sm 0.2040 0.2040 0.7044  4 Sm 3.49-3.52, 2 Nd 3.55, 3 Dy 3.55-3.61
Sm 0.2042 0.7958 0.5000  4 Sm 3.50-3.52, 3 Dy 3.54-3.61, 2 Nd 3.55
Sm 0.2525 0.2525 0.2547  1 Dy 3.02, 1 Nd 3.08
Sm 0.2523 0.7477 0.0000  1 Dy 3.02, 1 Nd 3.08
Sm 0.7477 0.2523 0.0000  1 Dy 3.02, 1 Nd 3.08
Sm 0.7475 0.7475 0.7453  1 Dy 3.02, 1 Nd 3.08
Sm 0.7958 0.2042 0.5000  4 Sm 3.50-3.52, 3 Dy 3.54-3.61, 2 Nd 3.55
Sm 0.7960 0.7960 0.2956  4 Sm 3.49-3.52, 2 Nd 3.55, 3 Dy 3.55-3.61
Dy 0.0000 0.5000 0.5000  2 Nd 3.45, 8 Sm 3.50-3.55
Dy 0.5000 0.0000 0.5000  2 Nd 3.45, 8 Sm 3.50-3.55
Dy 0.5000 0.5000 0.0000  2 Sm 3.02
Dy 0.5000 0.5000 0.5000  2 Sm 3.02

Calculated values
The total energy is -4.3574 eV/atom. The magnetic moment is 0.00 μB/f.u. As for the space group: No. 12. The energy of formation from the pure elements is 0.34 eV per atom.

7.
First-principles (PBE) data for a geometry-optimized Nd7SmDy12 structure, as listed in Alexandria via LeMat-Bulk.

a = 8.8121 Å, b = 8.8121 Å, c = 8.8121 Å
α = 86.09°, β = 86.09°, γ = 86.09°
With the nearest neighbours (Å) after each atom.
Positions (direct):
Nd 0.0000 0.0000 0.0000  6 Dy 3.32
Nd 0.1014 0.3445 0.4223  3 Nd 3.48-3.49, 7 Dy 3.48-3.84
Nd 0.3445 0.4223 0.1014  3 Nd 3.48-3.49, 7 Dy 3.48-3.84
Nd 0.4223 0.1014 0.3445  3 Nd 3.48-3.49, 7 Dy 3.48-3.84
Nd 0.5777 0.8986 0.6555  3 Nd 3.48-3.49, 7 Dy 3.48-3.84
Nd 0.6555 0.5777 0.8985  3 Nd 3.48-3.49, 7 Dy 3.48-3.84
Nd 0.8986 0.6555 0.5777  3 Nd 3.48-3.49, 7 Dy 3.48-3.84
Sm 0.5000 0.5000 0.5000  6 Dy 3.44
Dy 0.0040 0.3663 0.8820  5 Dy 3.24-3.62, 2 Nd 3.32-3.48
Dy 0.1180 0.9960 0.6337  5 Dy 3.24-3.62, 2 Nd 3.32-3.48
Dy 0.2254 0.7543 0.3532  4 Dy 3.27-3.62, 1 Sm 3.44, 2 Nd 3.51-3.61
Dy 0.2457 0.6468 0.7746  4 Dy 3.27-3.62, 1 Sm 3.44, 2 Nd 3.51-3.61
Dy 0.3532 0.2254 0.7543  4 Dy 3.27-3.62, 1 Sm 3.44, 2 Nd 3.51-3.61
Dy 0.3663 0.8820 0.0040  5 Dy 3.24-3.62, 2 Nd 3.32-3.48
Dy 0.6337 0.1180 0.9960  5 Dy 3.24-3.62, 2 Nd 3.32-3.48
Dy 0.6468 0.7746 0.2457  4 Dy 3.27-3.62, 1 Sm 3.44, 2 Nd 3.51-3.61
Dy 0.7543 0.3532 0.2254  4 Dy 3.27-3.62, 1 Sm 3.44, 2 Nd 3.51-3.61
Dy 0.7746 0.2457 0.6468  4 Dy 3.27-3.62, 1 Sm 3.44, 2 Nd 3.51-3.61
Dy 0.8820 0.0040 0.3663  5 Dy 3.24-3.62, 2 Nd 3.32-3.48
Dy 0.9960 0.6337 0.1180  5 Dy 3.24-3.62, 2 Nd 3.32-3.48

Calculated values
The total energy is -4.4358 eV/atom. The magnetic moment is 0.00 μB/f.u. As for the space group: No. 148. The energy of formation from the pure elements is 0.23 eV per atom.

8.
First-principles (PBE) data for a geometry-optimized Nd3SmDy5 structure, as listed in Alexandria via LeMat-Bulk.

a = 9.7366 Å, b = 9.7366 Å, c = 11.5055 Å
α = 110.70°, β = 110.70°, γ = 38.24°
With the nearest neighbours (Å) after each atom.
Positions (direct):
Nd 0.0000 0.0000 0.0000  2 Dy 2.97
Nd 0.0000 0.0000 0.5000  2 Dy 2.97
Nd 0.0151 0.6426 0.6275  1 Sm 3.25, 1 Nd 3.36, 4 Dy 3.43-3.58
Nd 0.3574 0.9849 0.8725  1 Sm 3.25, 1 Nd 3.36, 4 Dy 3.43-3.58
Nd 0.6426 0.0151 0.1275  1 Sm 3.25, 1 Nd 3.36, 4 Dy 3.43-3.58
Nd 0.9849 0.3574 0.3725  1 Sm 3.25, 1 Nd 3.36, 4 Dy 3.43-3.58
Sm 0.4079 0.5921 0.7500  2 Dy 3.03-3.35, 2 Nd 3.25
Sm 0.5921 0.4079 0.2500  2 Dy 3.03-3.35, 2 Nd 3.25
Dy 0.1179 0.8821 0.2500  2 Nd 2.97, 1 Sm 3.03
Dy 0.1202 0.5408 0.2864  4 Dy 3.41-3.55, 4 Nd 3.43-3.81, 1 Sm 3.82
Dy 0.1450 0.5342 0.9851  5 Dy 3.41-3.56, 4 Nd 3.49-3.77
Dy 0.4592 0.8798 0.2136  4 Dy 3.41-3.55, 4 Nd 3.43-3.81, 1 Sm 3.82
Dy 0.4658 0.8550 0.5149  5 Dy 3.41-3.56, 4 Nd 3.49-3.77
Dy 0.5342 0.1450 0.4851  5 Dy 3.41-3.56, 4 Nd 3.49-3.77
Dy 0.5408 0.1202 0.7864  4 Dy 3.41-3.55, 4 Nd 3.43-3.81, 1 Sm 3.82
Dy 0.8550 0.4658 0.0149  5 Dy 3.41-3.56, 4 Nd 3.49-3.77
Dy 0.8798 0.4592 0.7136  4 Dy 3.41-3.55, 4 Nd 3.43-3.81, 1 Sm 3.82
Dy 0.8821 0.1179 0.7500  2 Nd 2.97, 1 Sm 3.03

Calculated values
The total energy is -4.3850 eV/atom. The magnetic moment is 0.00 μB/f.u. As for the space group: No. 15. The energy of formation from the pure elements is 0.29 eV per atom.

9.
First-principles (PBE) data for a geometry-optimized Nd2Sm12Dy5 structure, as listed in Alexandria via LeMat-Bulk.

a = 9.4782 Å, b = 9.4782 Å, c = 7.9389 Å
α = 90.55°, β = 90.55°, γ = 64.67°
With the nearest neighbours (Å) after each atom.
Positions (direct):
Nd 0.2245 0.7755 0.0000  8 Sm 3.52-3.72, 2 Dy 3.71
Nd 0.7755 0.2245 0.0000  8 Sm 3.52-3.72, 2 Dy 3.71
Sm 0.0395 0.5736 0.2055  4 Dy 3.49-3.67, 6 Sm 3.52-3.73, 1 Nd 3.52
Sm 0.1590 0.1590 0.1219  2 Dy 3.23-3.52, 2 Nd 3.54, 4 Sm 3.56-3.61
Sm 0.1682 0.6204 0.6099  4 Dy 3.37-3.66, 5 Sm 3.49-3.61, 1 Nd 3.55
Sm 0.3796 0.8318 0.3901  4 Dy 3.37-3.66, 5 Sm 3.49-3.61, 1 Nd 3.55
Sm 0.4264 0.9605 0.7945  4 Dy 3.49-3.67, 6 Sm 3.52-3.73, 1 Nd 3.52
Sm 0.4484 0.4484 0.2900  3 Dy 3.32-3.62, 7 Sm 3.49-3.70, 2 Nd 3.72
Sm 0.5516 0.5516 0.7100  3 Dy 3.32-3.62, 7 Sm 3.49-3.70, 2 Nd 3.72
Sm 0.5736 0.0395 0.2055  4 Dy 3.49-3.67, 6 Sm 3.52-3.73, 1 Nd 3.52
Sm 0.6204 0.1682 0.6099  4 Dy 3.37-3.66, 5 Sm 3.49-3.61, 1 Nd 3.55
Sm 0.8318 0.3796 0.3901  4 Dy 3.37-3.66, 5 Sm 3.49-3.61, 1 Nd 3.55
Sm 0.8410 0.8410 0.8781  2 Dy 3.23-3.52, 2 Nd 3.54, 4 Sm 3.56-3.61
Sm 0.9605 0.4264 0.7945  4 Dy 3.49-3.67, 6 Sm 3.52-3.73, 1 Nd 3.52
Dy 0.0000 0.0000 0.5000  4 Sm 3.37
Dy 0.2467 0.2467 0.4909  6 Sm 3.23-3.62
Dy 0.3526 0.3526 0.9167  9 Sm 3.32-3.63, 2 Nd 3.71
Dy 0.6474 0.6474 0.0833  9 Sm 3.32-3.63, 2 Nd 3.71
Dy 0.7533 0.7533 0.5091  6 Sm 3.23-3.62

Calculated values
The total energy is -4.5669 eV/atom. The magnetic moment is 0.00 μB/f.u. As for the space group: No. 12. The energy of formation from the pure elements is 0.13 eV per atom.